First-principles (PBE-GGA) data for crystalline RbNaPr at its relaxed geometry, as listed in Alexandria via LeMat-Bulk.

```
RbNaPr
1.0
21.2299 0.0000 0.0000
0.0000 1.9255 3.3365
0.0000 -1.9255 3.3365
Rb Na Pr
2 2 2
Direct
0.1770 0.0000 0.0000
0.8230 0.0000 0.0000
0.0000 0.3267 0.3267
0.5000 0.0009 0.0009
0.3533 0.3338 0.3338
0.6467 0.3338 0.3338
```

Properties
- Spin magnetization: 0.0 μB per formula unit
- Calculated formation energy: 309 meV per atom